## Cs3LaHo2Se6 (PBE-GGA)

Data for a relaxed structure of Cs3LaHo2Se6.

Values from the calculation:
E = -4.8773 eV per atom
E_form (uncorrected) = -168.7 kJ per mole of atoms

Cell and atoms, written as POSCAR:
```
Cs3LaHo2Se6
1.0
3.7515 -6.4983 0.0000
3.7515 6.4983 0.0000
-2.5011 0.0000 8.3810
Cs La Ho Se
3 1 2 6
direct
0.0000 0.0000 0.0000
0.3355 0.6645 0.0000
0.6645 0.3355 0.0000
0.5000 0.5000 0.5000
0.1668 0.8332 0.5000
0.8332 0.1668 0.5000
0.0917 0.4377 0.3131
0.2161 0.2161 0.6859
0.4377 0.0917 0.3131
0.5623 0.9083 0.6869
0.7839 0.7839 0.3141
0.9083 0.5623 0.6869
```